TcNi2MoH: optimized geometry, PBE-GGA.

Cell: 3.684 3.684 3.976 Å, 90.00 90.00 90.00°
Sites, in units of the cell vectors:
Tc  0.000  0.000  0.000
Ni  0.000  0.500  0.500
Ni  0.500  0.000  0.500
Mo  0.500  0.500  0.000
H  0.000  0.000  0.500

Summary:
**Density of states at the Fermi level**: 0.716 states/eV/atom
**Polymorph energy (0 for the lowest one)**: 0.0 meV per atom
**Energy**: -36.1 eV for the cell shown

Co2TcMo: optimized geometry, PBE-GGA.

Cell: 4.541 4.541 2.619 Å, 90.00 90.00 109.62°
Sites, in units of the cell vectors:
Co  0.000  0.500  0.000
Co  0.500  0.000  0.000
Tc  0.000  0.000  0.500
Mo  0.500  0.500  0.500

Summary:
**Density of states at the Fermi level**: 0.833 states/eV/atom
**Energy of formation**: 34 meV per atom
**Polymorph energy (0 for the lowest one)**: 66.1 meV per atom
**Energy**: -35.3 eV for the cell shown

In2RuW: optimized geometry, PBE-GGA.

Cell: 4.140 4.140 4.169 Å, 90.00 90.00 90.00°
Sites, in units of the cell vectors:
In  0.000  0.500  0.000
In  0.500  0.000  0.000
Ru  0.000  0.000  0.500
W  0.500  0.500  0.500

Summary:
**Density of states at the Fermi level**: 1.254 states/eV/atom
**Energy of formation**: 598 meV per atom
**Polymorph energy (0 for the lowest one)**: 406.5 meV per atom
**Energy**: -25.3 eV for the cell shown

AcSmSbTe: optimized geometry, PBE-GGA.

Cell: 8.016 8.016 8.016 Å, 33.43 33.43 33.43°
Sites, in units of the cell vectors:
Ac  0.000  0.000  0.000
Sm  0.507  0.507  0.507
Sb  0.247  0.247  0.247
Te  0.759  0.759  0.759

Summary:
**Density of states at the Fermi level**: 0.493 states/eV/atom
**Polymorph energy (0 for the lowest one)**: 0.0 meV per atom
**Energy**: -21.5 eV for the cell shown

Sm2TmC2: optimized geometry, PBE-GGA.

Cell: 6.398 6.398 7.353 Å, 109.22 109.22 48.73°
Sites, in units of the cell vectors:
Sm  0.008  0.008  0.236
Sm  0.334  0.334  0.924
Sm  0.666  0.666  0.076
Sm  0.992  0.992  0.764
Tm  0.347  0.347  0.404
Tm  0.653  0.653  0.596
C  0.169  0.169  0.096
C  0.499  0.499  0.264
C  0.501  0.501  0.736
C  0.831  0.831  0.904

Summary:
**Density of states at the Fermi level**: 0.589 states/eV/atom
**Energy of formation**: -112 meV per atom
**Energy**: -65.8 eV for the cell shown

Tb4Pu: optimized geometry, PBE-GGA.

Cell: 5.554 5.554 5.554 Å, 90.00 90.00 90.00°
Sites, in units of the cell vectors:
Tb  0.000  0.000  0.000
Tb  0.000  0.500  0.500
Tb  0.500  0.000  0.500
Tb  0.500  0.500  0.000
Pu  0.500  0.500  0.500

Summary:
**Density of states at the Fermi level**: 0.772 states/eV/atom
**Energy of formation**: 512 meV per atom
**Energy**: -30.3 eV for the cell shown

TmPuPa2N4: optimized geometry, PBE-GGA.

Cell: 6.003 3.477 6.056 Å, 90.00 109.54 90.00°
Sites, in units of the cell vectors:
Tm  0.000  0.000  0.000
Pu  0.000  0.500  0.500
Pa  0.500  0.000  0.500
Pa  0.500  0.500  0.000
N  0.255  0.500  0.244
N  0.258  0.000  0.761
N  0.742  0.000  0.239
N  0.745  0.500  0.756

Summary:
**Density of states at the Fermi level**: 1.054 states/eV/atom
**Energy**: -83.7 eV for the cell shown

TmAlNi: optimized geometry, PBE-GGA.

Cell: 4.238 4.238 3.591 Å, 90.00 90.00 120.00°
Sites, in units of the cell vectors:
Tm  0.000  0.000  0.000
Al  0.333  0.667  0.500
Ni  0.667  0.333  0.500

Summary:
**Density of states at the Fermi level**: 0.636 states/eV/atom
**Energy of formation**: -497 meV per atom
**Energy**: -15.5 eV for the cell shown

Mn4Ru5: optimized geometry, PBE-GGA.

Cell: 5.931 5.931 5.931 Å, 95.79 95.79 142.95°
Sites, in units of the cell vectors:
Mn  0.000  0.328  0.328
Mn  0.000  0.672  0.672
Mn  0.328  0.000  0.328
Mn  0.672  0.000  0.672
Ru  0.000  0.000  0.000
Ru  0.332  0.332  0.664
Ru  0.332  0.668  0.000
Ru  0.668  0.332  0.000
Ru  0.668  0.668  0.336

Summary:
**Density of states at the Fermi level**: 1.044 states/eV/atom
**Energy of formation**: 96 meV per atom
**Polymorph energy (0 for the lowest one)**: 2.9 meV per atom
**Energy**: -82.2 eV for the cell shown

PH2F: optimized geometry, PBE-GGA.

Cell: 5.795 5.795 5.795 Å, 141.65 141.65 55.36°
Sites, in units of the cell vectors:
P  0.000  0.000  0.000
P  0.750  0.250  0.500
H  0.375  0.185  0.310
H  0.815  0.125  0.190
H  0.875  0.065  0.690
H  0.935  0.625  0.810
F  0.250  0.750  0.500
F  0.500  0.500  0.000

Summary:
**Density of states at the Fermi level**: 0.127 states/eV/atom
**Polymorph energy (0 for the lowest one)**: 737.9 meV per atom
**Energy**: -28.1 eV for the cell shown

Pu3MnAg3Se8: optimized geometry, PBE-GGA.

Cell: 7.954 7.954 7.954 Å, 62.58 62.58 62.58°
Sites, in units of the cell vectors:
Pu  0.000  0.500  0.500
Pu  0.500  0.000  0.500
Pu  0.500  0.500  0.000
Mn  0.000  0.000  0.000
Ag  0.000  0.000  0.500
Ag  0.000  0.500  0.000
Ag  0.500  0.000  0.000
Se  0.231  0.231  0.768
Se  0.231  0.768  0.231
Se  0.232  0.769  0.769
Se  0.251  0.251  0.251
Se  0.749  0.749  0.749
Se  0.768  0.231  0.231
Se  0.769  0.232  0.769
Se  0.769  0.769  0.232

Summary:
**Density of states at the Fermi level**: 1.823 states/eV/atom
**Energy**: -100.6 eV for the cell shown

Ag5AuCl12: optimized geometry, PBE-GGA.

Cell: 6.711 6.737 12.252 Å, 90.48 90.70 107.61°
Sites, in units of the cell vectors:
Ag  0.000  0.000  0.000
Ag  0.154  0.348  0.500
Ag  0.333  0.666  0.000
Ag  0.667  0.334  0.000
Ag  0.846  0.652  0.500
Au  0.500  0.000  0.500
Cl  0.053  0.720  0.115
Cl  0.115  0.614  0.632
Cl  0.232  0.044  0.389
Cl  0.279  0.947  0.884
Cl  0.388  0.388  0.117
Cl  0.461  0.268  0.611
Cl  0.539  0.732  0.389
Cl  0.612  0.612  0.883
Cl  0.721  0.053  0.116
Cl  0.768  0.956  0.611
Cl  0.885  0.386  0.368
Cl  0.947  0.280  0.885

Summary:
**Density of states at the Fermi level**: 0.612 states/eV/atom
**Energy**: -45.6 eV for the cell shown

What is the formula in the ninth record?
Mn4Ru5